1.
A plane-wave DFT calculation with PBE-GGA was carried out for a relaxed structure of BaCaLa3.

```
BaCaLa3
1.0
6.058 0.000 0.000
0.000 6.058 0.000
0.000 0.000 6.058
Ba Ca La
1 1 3
Direct
0.000 0.000 0.000 Ba
0.500 0.500 0.500 Ca
0.000 0.000 0.500 La
0.000 0.500 0.000 La
0.500 0.000 0.000 La
```

Calculated values
Formation enthalpy at 0 K: 60 kJ/mol of atoms
Calculated volume: 222.3 Å³/f.u.
Total DFT energy (no corrections): -3.1192 eV per atom

***

2.
A plane-wave DFT calculation with PBE-GGA was carried out for a relaxed structure of CsNaLaF5.

```
CsNaLaF5
1.0
3.946 -5.627 0.000
3.946 5.627 0.000
-3.138 0.000 8.387
Cs Na La F
2 2 2 10
Direct
0.164 0.836 0.750 Cs
0.836 0.164 0.250 Cs
0.184 0.816 0.250 Na
0.816 0.184 0.750 Na
0.500 0.500 0.000 La
0.500 0.500 0.500 La
0.142 0.258 0.914 F
0.221 0.599 0.400 F
0.258 0.142 0.414 F
0.401 0.779 0.100 F
0.432 0.568 0.750 F
0.568 0.432 0.250 F
0.599 0.221 0.900 F
0.742 0.858 0.586 F
0.779 0.401 0.600 F
0.858 0.742 0.086 F
```

Calculated values
Raw formation energy: -2647 kJ/mol of formula units
Calculated volume: 186.2 Å³/f.u.
Total DFT energy (no corrections): -5.4865 eV per atom

***

3.
A plane-wave DFT calculation with PBE-GGA was carried out for a relaxed structure of CuO.

```
CuO
1.0
3.561 0.000 0.000
0.000 3.910 0.000
-1.502 0.000 3.248
Cu O
2 2
Direct
0.194 0.250 0.305 Cu
0.806 0.750 0.695 Cu
0.240 0.750 0.261 O
0.760 0.250 0.739 O
```

Calculated values
Raw formation energy: -88 kJ/mol of formula units
Calculated volume: 22.6 Å³/f.u.
Total DFT energy (no corrections): -4.9825 eV per atom

***

4.
A plane-wave DFT calculation with PBE-GGA was carried out for a relaxed structure of PmEuIr2.

```
PmEuIr2
1.0
7.026 0.000 0.000
0.000 7.026 0.000
0.000 0.000 7.026
Pm Eu Ir
4 4 8
Direct
0.000 0.000 0.000 Pm
0.000 0.500 0.500 Pm
0.500 0.000 0.500 Pm
0.500 0.500 0.000 Pm
0.000 0.000 0.500 Eu
0.000 0.500 0.000 Eu
0.500 0.000 0.000 Eu
0.500 0.500 0.500 Eu
0.250 0.250 0.250 Ir
0.250 0.250 0.750 Ir
0.250 0.750 0.250 Ir
0.250 0.750 0.750 Ir
0.750 0.250 0.250 Ir
0.750 0.250 0.750 Ir
0.750 0.750 0.250 Ir
0.750 0.750 0.750 Ir
```

Calculated values
Formation enthalpy at 0 K: -37 kJ/mol of atoms
Calculated volume: 86.7 Å³/f.u.
Total DFT energy (no corrections): -8.5669 eV per atom